## Y2ScTcC (PBE)

Data for a relaxed Y2ScTcC crystal.

Properties
- space-group type = No. 123
- DOS(E_F) (states/eV/cell) = 3.19
- total magnetic moment (μB per formula unit) = 0.00
- VASP energy (eV per atom) = -7.895
- E_form (eV/atom) = -0.13

Cell lengths 5.0410, 5.0410, 4.0266 Å; angles 90.00, 90.00, 90.00 degrees
Positions (direct):
1 Sc 0.5000 0.5000 0.5000
2 Tc 0.0000 0.0000 0.5000
3 Y 0.5000 0.0000 0.0000
4 Y 0.0000 0.5000 0.0000
5 C 0.0000 0.0000 0.0000